# 1
! RbCu4As2 | Alexandria via LeMat-Bulk | PBE | optimized geometry; values from VASP
&SYSTEM
  ibrav = 0, nat = 7, ntyp = 3
/
ATOMIC_SPECIES
Rb 85.47 Rb.upf
Cu 63.55 Cu.upf
As 74.92 As.upf
ATOMIC_POSITIONS angstrom
Rb 0.000 0.000 0.000
Cu -4.497 1.433 3.231
Cu -3.490 -0.443 1.741
Cu -2.027 1.654 3.106
Cu -2.684 -0.585 4.250
As -3.032 1.753 0.911
As -3.492 1.335 5.426
CELL_PARAMETERS angstrom
-0.351 4.116 0.345
-3.411 -0.109 -2.169
-2.762 -0.920 8.160
! - total energy (eV per formula unit) = -27.60
! - E_form (eV per atom) = -0.135

---

# 2
! RbCu6As2 | Alexandria via LeMat-Bulk | PBE | optimized geometry; values from VASP
&SYSTEM
  ibrav = 0, nat = 9, ntyp = 3
/
ATOMIC_SPECIES
Rb 85.47 Rb.upf
Cu 63.55 Cu.upf
As 74.92 As.upf
ATOMIC_POSITIONS angstrom
Rb 4.207 -0.157 0.328
Cu 0.935 0.687 3.253
Cu 3.189 5.513 5.633
Cu 2.989 3.413 7.191
Cu 2.152 4.048 3.740
Cu 1.972 2.152 5.147
Cu 1.135 2.787 1.695
As 0.998 4.315 5.945
As 3.126 1.885 2.942
CELL_PARAMETERS angstrom
4.207 -0.157 0.328
0.244 6.177 2.054
-0.327 0.180 6.504
! - total energy (eV per formula unit) = -33.11
! - E_form (eV per atom) = 0.193

---

# 3
! RbCu2As | Alexandria via LeMat-Bulk | PBE | optimized geometry; values from VASP
&SYSTEM
  ibrav = 0, nat = 8, ntyp = 3
/
ATOMIC_SPECIES
As 74.92 As.upf
Cu 63.55 Cu.upf
Rb 85.47 Rb.upf
ATOMIC_POSITIONS angstrom
As 2.739 2.739 0.000
As 2.739 5.479 3.721
Cu 2.740 1.370 1.861
Cu 2.739 4.109 1.861
Cu 4.109 5.479 5.582
Cu 6.849 5.479 5.582
Rb 0.000 0.000 0.000
Rb 5.479 2.739 3.721
CELL_PARAMETERS angstrom
5.479 0.000 0.000
0.000 5.479 0.000
2.739 2.739 7.443
! - total energy (eV per formula unit) = -14.28
! - E_form (eV per atom) = -0.118

---

# 4
! RbCuAs2 | Alexandria via LeMat-Bulk | PBE | optimized geometry; values from VASP
&SYSTEM
  ibrav = 0, nat = 8, ntyp = 3
/
ATOMIC_SPECIES
As 74.92 As.upf
Cu 63.55 Cu.upf
Rb 85.47 Rb.upf
ATOMIC_POSITIONS angstrom
As 2.642 1.320 2.053
As 2.638 3.960 2.053
As 3.960 5.278 6.158
As 6.599 5.281 6.158
Cu 2.640 2.640 0.000
Cu 2.640 5.280 4.105
Rb 0.000 0.000 0.000
Rb 5.280 2.640 4.105
CELL_PARAMETERS angstrom
5.280 0.000 0.000
0.000 5.280 0.000
2.640 2.640 8.211
! - total energy (eV per formula unit) = -14.65
! - E_form (eV per atom) = -0.073
! - E above lowest polymorph (eV/f.u.) = 0.00

---

# 5
! Rb2CuAs2 | Alexandria via LeMat-Bulk | PBE | optimized geometry; values from VASP
&SYSTEM
  ibrav = 0, nat = 10, ntyp = 3
/
ATOMIC_SPECIES
As 74.92 As.upf
Cu 63.55 Cu.upf
Rb 85.47 Rb.upf
ATOMIC_POSITIONS angstrom
As -2.489 -5.434 -2.101
As -5.799 -3.752 -2.202
As -4.242 -0.615 -0.968
As -0.933 -2.297 -0.866
Cu 0.000 0.000 0.000
Cu -3.366 -3.025 -1.534
Rb -1.706 -5.103 1.209
Rb -5.045 -5.889 0.356
Rb -6.029 -2.593 1.171
Rb -2.690 -1.807 2.024
CELL_PARAMETERS angstrom
-6.654 0.415 -1.101
-0.077 -6.464 -1.967
-1.004 -1.646 5.448
! - total energy (eV per formula unit) = -15.86
! - E_form (eV per atom) = -0.107

---

# 6
! RbCu3As3 | Alexandria via LeMat-Bulk | PBE | optimized geometry; values from VASP
&SYSTEM
  ibrav = 0, nat = 14, ntyp = 3
/
ATOMIC_SPECIES
As 74.92 As.upf
Cu 63.55 Cu.upf
Rb 85.47 Rb.upf
ATOMIC_POSITIONS angstrom
As 0.000 1.695 3.390
As 0.000 5.084 3.390
As 3.390 0.000 5.084
As 5.084 3.390 0.000
As 3.390 0.000 1.695
As 1.695 3.390 0.000
Cu 1.695 0.000 3.390
Cu 0.000 3.390 1.695
Cu 3.390 5.084 0.000
Cu 5.084 0.000 3.390
Cu 0.000 3.390 5.084
Cu 3.390 1.695 0.000
Rb 3.390 3.390 3.390
Rb 0.000 0.000 0.000
CELL_PARAMETERS angstrom
6.779 0.000 0.000
0.000 6.779 0.000
0.000 0.000 6.779
! - total energy (eV per formula unit) = -27.52
! - E_form (eV per atom) = -0.046

---

# 7
! Rb2Cu2As | Alexandria via LeMat-Bulk | PBE | optimized geometry; values from VASP
&SYSTEM
  ibrav = 0, nat = 10, ntyp = 3
/
ATOMIC_SPECIES
As 74.92 As.upf
Cu 63.55 Cu.upf
Rb 85.47 Rb.upf
ATOMIC_POSITIONS angstrom
As 0.000 0.000 0.000
As 0.667 -2.327 4.139
Cu 2.442 -1.230 5.761
Cu 0.246 -4.253 5.902
Cu -1.109 -3.425 2.517
Cu 1.087 -0.402 2.376
Rb 0.200 1.112 5.454
Rb -0.600 -1.571 7.546
Rb -2.876 -2.746 5.168
Rb -2.076 -0.063 3.077
CELL_PARAMETERS angstrom
-2.575 -5.604 2.818
3.908 0.950 5.460
-4.009 3.021 2.344
! - total energy (eV per formula unit) = -13.97
! - E_form (eV per atom) = 0.161

---

# 8
! RbCu3As | Alexandria via LeMat-Bulk | PBE | optimized geometry; values from VASP
&SYSTEM
  ibrav = 0, nat = 5, ntyp = 3
/
ATOMIC_SPECIES
As 74.92 As.upf
Cu 63.55 Cu.upf
Rb 85.47 Rb.upf
ATOMIC_POSITIONS angstrom
As 2.537 2.537 2.537
Cu 0.000 2.537 0.000
Cu 0.000 0.000 2.537
Cu 2.537 0.000 0.000
Rb 0.000 0.000 0.000
CELL_PARAMETERS angstrom
5.074 0.000 0.000
0.000 5.074 0.000
0.000 0.000 5.074
! - total energy (eV per formula unit) = -8.55
! - E_form (eV per atom) = 1.872
! - E above lowest polymorph (eV/f.u.) = 7.93

---

# 9
! Rb2CuAs2 | Alexandria via LeMat-Bulk | PBE | optimized geometry; values from VASP
&SYSTEM
  ibrav = 0, nat = 10, ntyp = 3
/
ATOMIC_SPECIES
Rb 85.47 Rb.upf
Cu 63.55 Cu.upf
As 74.92 As.upf
ATOMIC_POSITIONS angstrom
Rb -3.393 0.861 1.000
Rb -9.275 -0.738 4.627
Rb -12.994 -0.355 5.342
Rb -7.112 1.244 1.714
Cu -5.782 -2.094 1.113
Cu -10.605 2.600 5.228
As -11.380 2.151 7.334
As -5.205 -0.654 4.036
As -5.007 -1.645 -0.992
As -11.182 1.160 2.306
CELL_PARAMETERS angstrom
-4.624 3.704 -0.913
-5.683 -2.590 -1.400
-6.080 -0.608 8.655
! - total energy (eV per formula unit) = -16.43
! - E_form (eV per atom) = -0.220

---

# 10
! RbCuAs2 | Alexandria via LeMat-Bulk | PBE | optimized geometry; values from VASP
&SYSTEM
  ibrav = 0, nat = 4, ntyp = 3
/
ATOMIC_SPECIES
As 74.92 As.upf
Cu 63.55 Cu.upf
Rb 85.47 Rb.upf
ATOMIC_POSITIONS angstrom
As -0.138 -3.061 -0.322
As -0.415 -9.182 -0.965
Cu 0.000 0.000 0.000
Rb -0.276 -6.121 -0.643
CELL_PARAMETERS angstrom
0.725 -4.410 2.310
-3.025 -3.892 -1.003
1.747 -3.941 -2.593
! - total energy (eV per formula unit) = -12.05
! - E_form (eV per atom) = 0.579
! - E above lowest polymorph (eV/f.u.) = 2.60

---

# 11
! RbCu2As | Alexandria via LeMat-Bulk | PBE | optimized geometry; values from VASP
&SYSTEM
  ibrav = 0, nat = 4, ntyp = 3
/
ATOMIC_SPECIES
As 74.92 As.upf
Cu 63.55 Cu.upf
Rb 85.47 Rb.upf
ATOMIC_POSITIONS angstrom
As 4.304 2.485 3.057
Cu 2.152 1.242 2.842
Cu 6.456 3.727 3.273
Rb 0.000 0.000 0.000
CELL_PARAMETERS angstrom
4.304 0.000 0.000
2.152 3.727 0.000
2.152 1.242 6.115
! - total energy (eV per formula unit) = -14.29
! - E_form (eV per atom) = -0.119

---

# 12
! RbCu5As2 | Alexandria via LeMat-Bulk | PBE | optimized geometry; values from VASP
&SYSTEM
  ibrav = 0, nat = 8, ntyp = 3
/
ATOMIC_SPECIES
Rb 85.47 Rb.upf
Cu 63.55 Cu.upf
As 74.92 As.upf
ATOMIC_POSITIONS angstrom
Rb 0.000 0.000 0.000
Cu 1.147 3.125 4.157
Cu 2.720 3.168 6.546
Cu 3.633 3.083 2.742
Cu 3.272 1.211 4.249
Cu 3.081 5.039 5.039
As 1.575 1.611 2.379
As 4.779 4.640 6.910
CELL_PARAMETERS angstrom
4.058 0.001 0.974
1.665 5.802 2.002
0.630 0.448 6.312
! - total energy (eV per formula unit) = -30.61
! - E_form (eV per atom) = 0.017